Entry from Alexandria via LeMat-Bulk: a relaxed U3S3N crystal (GGA-PBE).

Lattice parameters (Å, degrees): 8.3411 8.3411 7.1594 90.00 90.00 120.00
Space group R3m (No. 160, hexagonal axes)
Inequivalent atoms, fractional coordinates:
U 0.0381 0.5191 0.0000 (multiplicity 9)
S 0.1934 0.3868 0.7237 (multiplicity 9)
N 0.0000 0.0000 0.4299 (multiplicity 3)

Results
- Formation energy without anion corrections: -1136 meV per atom
- N(E_F): 1.6548 states/eV per atom

***

Entry from Alexandria via LeMat-Bulk: a relaxed Ho4InPd15 crystal (GGA-PBE).

Lattice parameters (Å, degrees): 4.100 4.100 20.465 90.00 90.00 90.00
Space group P4/mmm (No. 123)
Inequivalent atoms, fractional coordinates:
Ho 0.000 0.000 0.101 (multiplicity 2)
Ho 0.000 0.000 0.303 (multiplicity 2)
In 0.000 0.000 0.500 (multiplicity 1)
Pd 0.000 0.500 0.000 (multiplicity 2)
Pd 0.000 0.500 0.202 (multiplicity 4)
Pd 0.000 0.500 0.403 (multiplicity 4)
Pd 0.500 0.500 0.101 (multiplicity 2)
Pd 0.500 0.500 0.302 (multiplicity 2)
Pd 0.500 0.500 0.500 (multiplicity 1)

Results
- Formation energy from the elements: -0.803 eV/atom
- N(E_F): 0.7318 states/eV per atom

***

Entry from Alexandria via LeMat-Bulk: a relaxed Pu2Ti3O8 crystal (GGA-PBE).

Lattice parameters (Å, degrees): 10.632 6.408 5.007 90.00 90.17 90.00
Space group C2/m (No. 12)
Inequivalent atoms, fractional coordinates:
Pu 0.213 0.000 0.480 (multiplicity 4)
Ti 0.000 0.242 0.000 (multiplicity 4)
Ti 0.000 0.500 0.500 (multiplicity 2)
O 0.101 0.000 0.859 (multiplicity 4)
O 0.101 0.500 0.829 (multiplicity 4)
O 0.111 0.285 0.326 (multiplicity 8)

Results
- Formation energy without anion corrections: -2886 meV per atom
- N(E_F): 1.3034 states/eV per atom

***

Entry from Alexandria via LeMat-Bulk: a relaxed Nd3NpAg3Se8 crystal (GGA-PBE).

Lattice parameters (Å, degrees): 13.618 8.605 8.073 90.00 120.66 90.00
Space group C2/m (No. 12)
Inequivalent atoms, fractional coordinates:
Nd 0.000 0.000 0.000 (multiplicity 2)
Nd 0.250 0.250 0.500 (multiplicity 4)
Np 0.000 0.500 0.000 (multiplicity 2)
Ag 0.000 0.500 0.500 (multiplicity 2)
Ag 0.250 0.250 0.000 (multiplicity 4)
Se 0.002 0.259 0.758 (multiplicity 8)
Se 0.243 0.500 0.240 (multiplicity 4)
Se 0.248 0.500 0.751 (multiplicity 4)

Results
- Formation energy without anion corrections: -1130 meV per atom
- N(E_F): 0.4158 states/eV per atom

***

Entry from Alexandria via LeMat-Bulk: a relaxed Ce2ScBi2 crystal (GGA-PBE).

Lattice parameters (Å, degrees): 5.151 17.887 6.404 90.00 90.00 90.00
Space group Cmcm (No. 63)
Inequivalent atoms, fractional coordinates:
Ce 0.000 0.000 0.000 (multiplicity 4)
Ce 0.000 0.198 0.250 (multiplicity 4)
Sc 0.000 0.408 0.250 (multiplicity 4)
Bi 0.000 0.176 0.750 (multiplicity 4)
Bi 0.000 0.418 0.750 (multiplicity 4)

Results
- Formation energy from the elements: -0.619 eV/atom
- N(E_F): 2.8773 states/eV per atom

***

Entry from Alexandria via LeMat-Bulk: a relaxed Be2AgSb crystal (GGA-PBE).

Lattice parameters (Å, degrees): 8.046 3.099 5.441 90.00 105.84 90.00
Space group C2/m (No. 12)
Inequivalent atoms, fractional coordinates:
Be 0.246 0.000 0.167 (multiplicity 4)
Ag 0.000 0.500 0.000 (multiplicity 2)
Sb 0.000 0.000 0.500 (multiplicity 2)

Results
- Formation energy without anion corrections: 427 meV per atom
- N(E_F): 0.2900 states/eV per atom

***

Entry from Alexandria via LeMat-Bulk: a relaxed CaTaOs2 crystal (GGA-PBE).

Lattice parameters (Å, degrees): 3.902 3.902 9.187 90.00 90.00 90.00
Space group I-4m2 (No. 119)
Inequivalent atoms, fractional coordinates:
Ca 0.000 0.000 0.000 (multiplicity 2)
Ta 0.000 0.500 0.250 (multiplicity 2)
Os 0.000 0.000 0.500 (multiplicity 2)
Os 0.000 0.500 0.750 (multiplicity 2)

Results
- Formation energy from the elements: 0.583 eV/atom
- Energy relative to the lowest polymorph listed for this composition: 54.8 kJ per mole of atoms
- N(E_F): 1.0523 states/eV per atom

***

Entry from Alexandria via LeMat-Bulk: a relaxed K2ReRu crystal (GGA-PBE).

Lattice parameters (Å, degrees): 4.606 4.606 5.097 90.00 90.00 90.00
Space group P4/mmm (No. 123)
Inequivalent atoms, fractional coordinates:
K 0.000 0.000 0.249 (multiplicity 2)
Re 0.500 0.500 0.500 (multiplicity 1)
Ru 0.500 0.500 0.000 (multiplicity 1)

Results
- Formation energy from the elements: 1.910 eV/atom
- Energy relative to the lowest polymorph listed for this composition: 110.4 kJ per mole of atoms
- N(E_F): 0.8327 states/eV per atom

***

Entry from Alexandria via LeMat-Bulk: a relaxed Sr2PN crystal (GGA-PBE).

Lattice parameters (Å, degrees): 7.378 7.378 7.407 90.00 90.00 90.00
Space group I-42d (No. 122)
Inequivalent atoms, fractional coordinates:
Sr 0.189 0.250 0.125 (multiplicity 8)
P 0.000 0.000 0.500 (multiplicity 4)
N 0.000 0.000 0.000 (multiplicity 4)

Results
- Formation energy without anion corrections: -230 meV per atom
- Energy relative to the lowest polymorph listed for this composition: 0.0 kJ per mole of atoms
- N(E_F): 1.2464 states/eV per atom

***

Entry from Alexandria via LeMat-Bulk: a relaxed La2Sm3Y crystal (GGA-PBE).

Lattice parameters (Å, degrees): 9.177 10.049 9.197 90.00 101.56 90.00
Space group C2/c (No. 15)
Inequivalent atoms, fractional coordinates:
La 0.126 0.248 0.124 (multiplicity 8)
Sm 0.000 0.417 0.750 (multiplicity 4)
Sm 0.247 0.416 0.500 (multiplicity 8)
Y 0.000 0.083 0.750 (multiplicity 4)

Results
- Formation energy from the elements: 0.055 eV/atom
- Energy relative to the lowest polymorph listed for this composition: 0.0 kJ per mole of atoms
- N(E_F): 1.5706 states/eV per atom

***

Entry from Alexandria via LeMat-Bulk: a relaxed Tb6Ho2ErTh crystal (GGA-PBE).

Lattice parameters (Å, degrees): 9.263 14.907 9.362 90.00 95.42 90.00
Space group C2/c (No. 15)
Inequivalent atoms, fractional coordinates:
Tb 0.058 0.177 0.441 (multiplicity 8)
Tb 0.096 0.386 0.613 (multiplicity 8)
Tb 0.211 0.221 0.814 (multiplicity 8)
Ho 0.247 0.450 0.946 (multiplicity 8)
Er 0.000 0.411 0.250 (multiplicity 4)
Th 0.000 0.033 0.750 (multiplicity 4)

Results
- Formation energy from the elements: 0.149 eV/atom
- N(E_F): 1.4407 states/eV per atom

***

Entry from Alexandria via LeMat-Bulk: a relaxed Cs2Se2O crystal (GGA-PBE).

Lattice parameters (Å, degrees): 8.864 8.864 4.946 90.00 90.00 90.00
Space group P4/mbm (No. 127)
Inequivalent atoms, fractional coordinates:
Cs 0.197 0.303 0.000 (multiplicity 4)
Se 0.093 0.593 0.500 (multiplicity 4)
O 0.000 0.000 0.500 (multiplicity 2)

Results
- Formation energy without anion corrections: -414 meV per atom
- Energy relative to the lowest polymorph listed for this composition: 13.0 kJ per mole of atoms
- N(E_F): 1.8034 states/eV per atom